(1)
This record from the Open Quantum Materials Database describes an optimized crystal structure of GdDyGa2Ni4. The functional is GGA-PBE.

Lattice parameters (Å, degrees): 4.1508 4.1508 8.9183 90.00 90.00 120.00
With the nearest neighbours (Å) after each atom.
Sites, in units of the cell vectors:
Gd1 0.0000 0.0000 0.0000  8 Ni 2.79-2.94
Dy1 0.3333 0.6667 0.5000  8 Ni 2.76-2.92
Ga1 0.6667 0.3333 0.2512  6 Ni 2.46
Ga2 0.6667 0.3333 0.7488  6 Ni 2.46
Ni1 0.0000 0.0000 0.3125  3 Ga 2.46, 3 Ni 2.63
Ni2 0.0000 0.0000 0.6875  3 Ga 2.46, 3 Ni 2.63
Ni3 0.3333 0.6667 0.1907  3 Ga 2.46, 3 Ni 2.63
Ni4 0.3333 0.6667 0.8093  3 Ga 2.46, 3 Ni 2.63

- Symmetry: No. 187
- Crystal system: hexagonal
- Raw total energy: -42.10 eV/cell
- Size of the total moment: 0.001 μB/cell

(2)
This record from the Open Quantum Materials Database describes an optimized crystal structure of RbNbTe3Pd. The functional is GGA-PBE.

Lattice parameters (Å, degrees): 8.7628 8.7628 10.6420 90.00 90.00 154.60
With the nearest neighbours (Å) after each atom.
Sites, in units of the cell vectors:
Rb1 0.2431 0.7569 0.7500  8 Te 3.62-3.90, 2 Rb 3.85, 2 Pd 4.04
Rb2 0.7569 0.2431 0.2500  8 Te 3.62-3.90, 2 Rb 3.85, 2 Pd 4.04
Nb1 0.0000 0.0000 0.0000  6 Te 2.84-2.93
Nb2 0.0000 0.0000 0.5000  6 Te 2.84-2.93
Te1 0.0720 0.9280 0.2500  2 Pd 2.66, 2 Nb 2.93
Te2 0.3810 0.6190 0.0416  1 Pd 2.64, 2 Nb 2.84
Te3 0.3810 0.6190 0.4584  1 Pd 2.64, 2 Nb 2.84
Te4 0.6190 0.3810 0.5416  1 Pd 2.64, 2 Nb 2.84
Te5 0.6190 0.3810 0.9584  1 Pd 2.64, 2 Nb 2.84
Te6 0.9280 0.0720 0.7500  2 Pd 2.66, 2 Nb 2.93
Pd1 0.4647 0.5353 0.2500  4 Te 2.64-2.66
Pd2 0.5353 0.4647 0.7500  4 Te 2.64-2.66

- Symmetry: No. 63
- Crystal system: orthorhombic
- Raw total energy: -57.82 eV/cell
- Size of the total moment: 0.000 μB/cell

(3)
This record from the Open Quantum Materials Database describes an optimized crystal structure of ScCuI4. The functional is GGA-PBE.

Lattice parameters (Å, degrees): 6.5102 6.5102 12.0133 90.00 90.00 90.00
With the nearest neighbours (Å) after each atom.
Sites, in units of the cell vectors:
Sc1 0.0000 0.0000 0.0000  4 I 2.74
Sc2 0.5000 0.5000 0.5000  4 I 2.74
Cu1 0.0000 0.5000 0.7500  4 I 2.63
Cu2 0.5000 0.0000 0.2500  4 I 2.63
I1 0.2336 0.7399 0.8724  1 Cu 2.63, 1 Sc 2.74
I2 0.2399 0.2664 0.6276  1 Cu 2.63, 1 Sc 2.74
I3 0.2601 0.2336 0.1276  1 Cu 2.63, 1 Sc 2.74
I4 0.2664 0.7601 0.3724  1 Cu 2.63, 1 Sc 2.74
I5 0.7336 0.2399 0.3724  1 Cu 2.63, 1 Sc 2.74
I6 0.7399 0.7664 0.1276  1 Cu 2.63, 1 Sc 2.74
I7 0.7601 0.7336 0.6276  1 Cu 2.63, 1 Sc 2.74
I8 0.7664 0.2601 0.8724  1 Cu 2.63, 1 Sc 2.74

- Symmetry: No. 82
- Crystal system: tetragonal
- Raw total energy: -42.10 eV/cell
- Size of the total moment: 0.001 μB/cell